[1]
Entry from Alexandria via LeMat-Bulk: an optimized crystal structure of LiSmGe2Rh (GGA-PBE).

Summary:
* ΔH_f (0 K): -0.72 eV/atom

Cell: 4.1559 4.1559 6.0366 Å, 110.13 110.13 90.00°
Positions (direct):
Sm: 0.0000 0.0000 0.0000
Ge: 0.3802 0.3802 0.7604
Ge: 0.6198 0.6198 0.2396
Li: 0.2500 0.7500 0.5000
Rh: 0.7500 0.2500 0.5000

[2]
Entry from Alexandria via LeMat-Bulk: an optimized crystal structure of Zr4CrRu (GGA-PBE).

Summary:
* ΔH_f (0 K): 0.67 eV/atom

Cell: 5.6064 5.6064 5.6064 Å, 60.00 60.00 60.00°
Positions (direct):
Zr: 0.3743 0.8772 0.3743
Zr: 0.8772 0.3743 0.3743
Cr: 0.7500 0.7500 0.7500
Zr: 0.3743 0.3743 0.8772
Ru: 0.0000 0.0000 0.0000
Zr: 0.3743 0.3743 0.3743

[3]
Entry from Alexandria via LeMat-Bulk: an optimized crystal structure of CoRuSe2N (GGA-PBE).

Summary:
* formation energy without anion corrections: 0.741 eV per atom

Cell: 5.0533 5.0533 3.6144 Å, 90.00 90.00 90.00°
Positions (direct):
Ru: 0.0000 0.0000 0.0000
Se: 0.5000 0.0000 0.0000
N: 0.0000 0.0000 0.5000
Co: 0.5000 0.5000 0.5000
Se: 0.0000 0.5000 0.0000

[4]
Entry from Alexandria via LeMat-Bulk: an optimized crystal structure of TbTm6Th (GGA-PBE).

Summary:
* ΔH_f (0 K): 0.03 eV/atom

Cell: 4.9738 4.9738 9.8933 Å, 90.00 90.00 90.00°
Positions (direct):
Tm: 0.5000 0.0000 0.7485
Tb: 0.0000 0.0000 0.0000
Tm: 0.0000 0.5000 0.2515
Tm: 0.5000 0.5000 0.0000
Th: 0.0000 0.0000 0.5000
Tm: 0.0000 0.5000 0.7485
Tm: 0.5000 0.0000 0.2515
Tm: 0.5000 0.5000 0.5000

| no. | total magnetic moment (μB/cell) |
| --- | --- |
| 1 | 0.000 |
| 2 | 3.827 |
| 3 | 2.027 |
| 4 | 0.001 |